## K2HfTi (PBE)

Data for a geometry-optimized K2HfTi structure.

## Properties
ΔH_f (0 K) = 1.4951 eV per atom
crystal system = tetragonal
M_tot = 1.8 μB/cell

Structure (POSCAR):
```
K2HfTi
1.0
12.412 0.000 0.000
0.000 12.412 0.000
6.206 6.206 2.462
Hf Ti K
2 2 4
Direct
0.750 0.250 0.500 Hf
0.000 0.000 0.000 Hf
0.500 0.500 0.000 Ti
0.250 0.750 0.500 Ti
0.875 0.746 0.750 K
0.496 0.125 0.250 K
0.375 0.504 0.750 K
0.254 0.625 0.250 K
```


## HfNpO3 (PBE)

Data for a geometry-optimized HfNpO3 structure.

## Properties
ΔE_f (raw) = -2.70 eV per atom
crystal system = cubic
M_tot = 4.9 μB/cell

Structure (POSCAR):
```
HfNpO3
1.0
-2.663 2.684 1.628
-2.950 -2.870 -0.093
1.075 -1.227 3.780
O Np Hf
3 1 1
Direct
0.500 0.500 0.000 O
0.000 0.500 0.500 O
0.500 0.000 0.500 O
0.000 0.000 0.000 Np
0.500 0.500 0.500 Hf
```


## TaMnReAs2 (PBE)

Data for a geometry-optimized TaMnReAs2 structure.

## Properties
ΔH_f (0 K) = 1.1063 eV per atom
crystal system = tetragonal
M_tot = 1.3 μB/cell

Structure (POSCAR):
```
TaMnReAs2
1.0
4.435 0.000 0.000
0.000 4.435 0.000
0.000 0.000 4.574
Ta As Mn Re
1 2 1 1
Direct
0.500 0.500 0.500 Ta
0.500 0.000 0.000 As
0.000 0.500 0.000 As
0.000 0.000 0.000 Mn
0.000 0.000 0.500 Re
```


## Li2PrZnPd4 (PBE)

Data for a geometry-optimized Li2PrZnPd4 structure.

## Properties
ΔH_f (0 K) = -0.5543 eV per atom
crystal system = trigonal
M_tot = 0.0 μB/cell

Structure (POSCAR):
```
Li2PrZnPd4
1.0
-0.569 0.730 -4.242
2.606 -1.909 -2.900
-4.513 -6.853 -2.795
Li Pd Zn Pr
2 4 1 1
Direct
0.235 0.235 0.295 Li
0.765 0.765 0.705 Li
0.129 0.129 0.614 Pd
0.398 0.398 0.805 Pd
0.871 0.871 0.386 Pd
0.602 0.602 0.195 Pd
0.500 0.500 0.500 Zn
0.000 0.000 0.000 Pr
```


## BaSiCl (PBE)

Data for a geometry-optimized BaSiCl structure.

## Properties
ΔE_f (raw) = -0.47 eV per atom
crystal system = tetragonal
M_tot = 1.3 μB/cell

Structure (POSCAR):
```
BaSiCl
1.0
7.095 0.044 -0.048
5.973 3.830 -0.056
1.122 0.342 3.771
Si Ba Cl
1 1 1
Direct
0.651 0.651 0.349 Si
0.979 0.979 0.021 Ba
0.370 0.370 0.630 Cl
```


## NaPmS2 (PBE)

Data for a geometry-optimized NaPmS2 structure.

## Properties
ΔE_f (raw) = -1.81 eV per atom
crystal system = trigonal
M_tot = 0.0 μB/cell

Structure (POSCAR):
```
NaPmS2
1.0
-0.924 3.525 1.881
-3.505 1.937 -0.882
-4.579 -1.584 5.187
Pm S Na
1 2 1
Direct
0.000 0.000 0.000 Pm
0.256 0.256 0.232 S
0.744 0.744 0.768 S
0.500 0.500 0.500 Na
```